Record 1
Here is a relaxed structure of Na3HfZr2Se6 from the Alexandria database. Energies are from PBE-GGA.

Cell lengths 6.626, 11.478, 7.542 Å; angles 90.00, 107.04, 90.00 degrees
Space group C2/m (No. 12)
Asymmetric unit:
Na: 0.000 0.000 0.000 x2
Na: 0.000 0.332 0.000 x4
Hf: 0.000 0.500 0.500 x2
Zr: 0.000 0.166 0.500 x4
Se: 0.239 0.336 0.726 x8
Se: 0.247 0.000 0.726 x4

Computed properties:
E_form (uncorrected) (eV per formula unit): -15.51

***

Record 2
Here is a relaxed structure of Ac2CoAg from the Alexandria database. Energies are from PBE-GGA.

Cell lengths 4.1388, 4.1388, 28.6678 Å; angles 90.00, 90.00, 120.00 degrees
Space group R-3m (No. 166, hexagonal axes)
Asymmetric unit:
Ac: 0.0000 0.0000 0.1118 x6
Co: 0.0000 0.0000 0.5000 x3
Ag: 0.0000 0.0000 0.0000 x3

Computed properties:
Formation enthalpy at 0 K (meV per atom): 216.4
Energy above the most stable polymorph in this dataset (meV per atom): 334

***

Record 3
Here is a relaxed structure of HoTi2AlIr4 from the Alexandria database. Energies are from PBE-GGA.

Cell lengths 4.3807, 4.3807, 23.5891 Å; angles 90.00, 90.00, 120.00 degrees
Space group R-3m (No. 166, hexagonal axes)
Asymmetric unit:
Ho: 0.0000 0.0000 0.0000 x3
Ti: 0.0000 0.0000 0.2433 x6
Al: 0.0000 0.0000 0.5000 x3
Ir: 0.0000 0.0000 0.1302 x6
Ir: 0.0000 0.0000 0.3937 x6

Computed properties:
Formation enthalpy at 0 K (meV per atom): -804.2

***

Record 4
Here is a relaxed structure of MgGaPbBr2 from the Alexandria database. Energies are from PBE-GGA.

Cell lengths 5.619, 5.619, 5.228 Å; angles 90.00, 90.00, 90.00 degrees
Space group P4/mmm (No. 123)
Asymmetric unit:
Mg: 0.000 0.000 0.000 x1
Ga: 0.000 0.000 0.500 x1
Pb: 0.500 0.500 0.000 x1
Br: 0.000 0.500 0.500 x2

Computed properties:
E_form (uncorrected) (eV per formula unit): -0.11

***

Record 5
Here is a relaxed structure of BeSnRh2 from the Alexandria database. Energies are from PBE-GGA.

Cell lengths 4.068, 4.068, 16.208 Å; angles 90.00, 90.00, 90.00 degrees
Space group I-42d (No. 122)
Asymmetric unit:
Be: 0.000 0.000 0.000 x4
Sn: 0.000 0.000 0.500 x4
Rh: 0.188 0.250 0.125 x8

Computed properties:
Formation enthalpy at 0 K (meV per atom): 73.1

***

Record 6
Here is a relaxed structure of HfTlS2 from the Alexandria database. Energies are from PBE-GGA.

Cell lengths 6.238, 3.601, 8.466 Å; angles 90.00, 90.11, 90.00 degrees
Space group C2 (No. 5)
Asymmetric unit:
Hf: 0.000 0.000 0.000 x2
Tl: 0.000 0.996 0.500 x2
S: 0.167 0.500 0.177 x4

Computed properties:
E_form (uncorrected) (eV per formula unit): -4.77

***

Record 7
Here is a relaxed structure of ZrCuCl from the Alexandria database. Energies are from PBE-GGA.

Cell lengths 3.082, 3.082, 14.281 Å; angles 90.00, 90.00, 90.00 degrees
Space group I4mm (No. 107)
Asymmetric unit:
Zr: 0.000 0.000 0.000 x2
Cu: 0.000 0.000 0.627 x2
Cl: 0.000 0.000 0.383 x2

Computed properties:
Energy above the most stable polymorph in this dataset (meV per atom): 119
E_form (uncorrected) (eV per formula unit): -1.13

***

Record 8
Here is a relaxed structure of Hf2AlPd4 from the Alexandria database. Energies are from PBE-GGA.

Cell lengths 4.516, 4.516, 13.595 Å; angles 90.00, 90.00, 90.00 degrees
Space group I4/mmm (No. 139)
Asymmetric unit:
Hf: 0.000 0.000 0.132 x4
Al: 0.000 0.000 0.500 x2
Pd: 0.000 0.000 0.318 x4
Pd: 0.000 0.500 0.000 x4

Computed properties:
Formation enthalpy at 0 K (meV per atom): -73.9

***

Record 9
Here is a relaxed structure of NbIrRh6 from the Alexandria database. Energies are from PBE-GGA.

Cell lengths 8.670, 3.888, 7.774 Å; angles 90.00, 116.71, 90.00 degrees
Space group C2/m (No. 12)
Asymmetric unit:
Nb: 0.000 0.000 0.000 x2
Ir: 0.000 0.000 0.500 x2
Rh: 0.002 0.500 0.749 x4
Rh: 0.248 0.000 0.375 x4
Rh: 0.249 0.000 0.872 x4

Computed properties:
Formation enthalpy at 0 K (meV per atom): -196.9
Energy above the most stable polymorph in this dataset (meV per atom): 0

***

Record 10
Here is a relaxed structure of SiHg from the Alexandria database. Energies are from PBE-GGA.

Cell lengths 3.726, 4.756, 6.161 Å; angles 107.16, 96.85, 112.69 degrees
Space group P1 (No. 1)
Asymmetric unit:
Si: 0.000 0.000 0.000 x1
Si: 0.381 0.860 0.744 x1
Hg: 0.105 0.603 0.190 x1
Hg: 0.810 0.263 0.560 x1

Computed properties:
Energy above the most stable polymorph in this dataset (meV per atom): 172
E_form (uncorrected) (eV per formula unit): 0.64

***

Record 11
Here is a relaxed structure of Li3ScTa from the Alexandria database. Energies are from PBE-GGA.

Cell lengths 4.879, 4.879, 4.879 Å; angles 90.00, 90.00, 90.00 degrees
Space group Pm-3m (No. 221)
Asymmetric unit:
Li: 0.000 0.000 0.500 x3
Sc: 0.500 0.500 0.500 x1
Ta: 0.000 0.000 0.000 x1

Computed properties:
Formation enthalpy at 0 K (meV per atom): 1334.3
Energy above the most stable polymorph in this dataset (meV per atom): 0

***

Record 12
Here is a relaxed structure of Sm3Rh2Pb from the Alexandria database. Energies are from PBE-GGA.

Cell lengths 3.493, 3.493, 11.926 Å; angles 90.00, 90.00, 90.00 degrees
Space group P4/mmm (No. 123)
Asymmetric unit:
Sm: 0.000 0.000 0.000 x1
Sm: 0.000 0.000 0.294 x2
Rh: 0.500 0.500 0.150 x2
Pb: 0.500 0.500 0.500 x1

Computed properties:
Formation enthalpy at 0 K (meV per atom): -649.9

***

Record 13
Here is a relaxed structure of YEr5Se6 from the Alexandria database. Energies are from PBE-GGA.

Cell lengths 7.005, 12.162, 6.992 Å; angles 90.00, 109.58, 90.00 degrees
Space group C2/m (No. 12)
Asymmetric unit:
Y: 0.000 0.000 0.000 x2
Er: 0.000 0.164 0.500 x4
Er: 0.000 0.334 0.000 x4
Er: 0.000 0.500 0.500 x2
Se: 0.247 0.500 0.250 x4
Se: 0.248 0.331 0.748 x8

Computed properties:
E_form (uncorrected) (eV per formula unit): -20.47

***

no.,magnetization (μB per formula unit),D(E_F) (states/eV per atom),final energy (eV for the cell shown)
1,0.000,0.43,-134.9
2,0.000,0.58,-51.9
3,0.000,0.94,-198.0
4,0.672,0.86,-11.8
5,0.000,0.83,-88.6
6,0.000,0.48,-50.7
7,0.000,0.76,-31.2
8,0.000,0.58,-89.9
9,0.000,1.29,-129.2
10,0.000,0.25,-10.2
11,4.145,0.87,-17.3
12,0.000,0.77,-36.5
13,0.002,0.41,-141.3